VASP calculation (PBE) on a relaxed HoTc6 crystal.

a = 8.467 Å, b = 5.163 Å, c = 10.721 Å
α = 90.00°, β = 90.00°, γ = 90.00°
Element x y z (fractional)
Ho1 0.233 0.250 0.056
Ho2 0.267 0.750 0.556
Ho3 0.733 0.250 0.444
Ho4 0.767 0.750 0.944
Tc1 0.070 0.009 0.305
Tc2 0.070 0.491 0.305
Tc3 0.075 0.750 0.077
Tc4 0.079 0.250 0.522
Tc5 0.139 0.750 0.852
Tc6 0.185 0.250 0.757
Tc7 0.315 0.750 0.257
Tc8 0.361 0.250 0.352
Tc9 0.421 0.750 0.022
Tc10 0.425 0.250 0.577
Tc11 0.430 0.509 0.805
Tc12 0.430 0.991 0.805
Tc13 0.570 0.009 0.195
Tc14 0.570 0.491 0.195
Tc15 0.575 0.750 0.423
Tc16 0.579 0.250 0.978
Tc17 0.639 0.750 0.648
Tc18 0.685 0.250 0.743
Tc19 0.815 0.750 0.243
Tc20 0.861 0.250 0.148
Tc21 0.921 0.750 0.478
Tc22 0.925 0.250 0.923
Tc23 0.930 0.509 0.695
Tc24 0.930 0.991 0.695

Summary:
The energy relative to the lowest polymorph listed for this composition is 0 meV/atom. As for the total DFT energy (no corrections): -9.54 eV per atom. For the volume, the calculation gives 468.7 Å³/cell. Its density of states at the Fermi level is 5.31 states/eV/f.u. For the formation energy, the calculation gives -0.001 eV per atom. The space group is Pnma, No. 62.

VASP calculation (PBE) on a relaxed LaLuPd crystal.

a = 4.973 Å, b = 4.973 Å, c = 4.973 Å
α = 60.00°, β = 60.00°, γ = 60.00°
Element x y z (fractional)
La1 0.000 0.000 0.000
Lu1 0.500 0.500 0.500
Pd1 0.250 0.250 0.250

Summary:
The energy relative to the lowest polymorph listed for this composition is 97 meV/atom. As for the total DFT energy (no corrections): -5.33 eV per atom. For the volume, the calculation gives 87.0 Å³/cell. Its density of states at the Fermi level is 2.88 states/eV/f.u. For the formation energy, the calculation gives -0.452 eV per atom. The space group is F-43m, No. 216.

VASP calculation (PBE) on a relaxed K4AlIn crystal.

a = 7.159 Å, b = 7.159 Å, c = 7.159 Å
α = 60.00°, β = 60.00°, γ = 60.00°
Element x y z (fractional)
K1 0.125 0.125 0.125
K2 0.125 0.125 0.626
K3 0.125 0.626 0.125
K4 0.626 0.125 0.125
Al1 0.750 0.750 0.750
In1 0.500 0.500 0.500

Summary:
As for the total DFT energy (no corrections): -1.36 eV per atom. For the volume, the calculation gives 259.4 Å³/cell. Its density of states at the Fermi level is 4.30 states/eV/f.u. For the formation energy, the calculation gives 0.452 eV per atom. The space group is F-43m, No. 216.

VASP calculation (PBE) on a relaxed Tb5TmAl2 crystal.

a = 8.238 Å, b = 8.238 Å, c = 8.238 Å
α = 155.34°, β = 102.15°, γ = 83.15°
Element x y z (fractional)
Tb1 0.000 0.000 0.000
Tb2 0.087 0.363 0.725
Tb3 0.362 0.637 0.725
Tb4 0.638 0.363 0.275
Tb5 0.913 0.637 0.275
Tm1 0.500 0.000 0.500
Al1 0.267 0.267 0.000
Al2 0.733 0.733 0.000

Summary:
As for the total DFT energy (no corrections): -4.46 eV per atom. For the volume, the calculation gives 224.4 Å³/cell. Its density of states at the Fermi level is 11.62 states/eV/f.u. For the formation energy, the calculation gives -0.073 eV per atom. The space group is Immm, No. 71.

VASP calculation (PBE) on a relaxed RbMn2Cl crystal.

a = 11.669 Å, b = 11.669 Å, c = 11.669 Å
α = 155.10°, β = 155.10°, γ = 35.51°
Element x y z (fractional)
Rb1 0.375 0.625 0.750
Rb2 0.625 0.375 0.250
Mn1 0.000 0.000 0.000
Mn2 0.000 0.000 0.500
Mn3 0.000 0.500 0.000
Mn4 0.500 0.000 0.500
Cl1 0.125 0.875 0.250
Cl2 0.875 0.125 0.750

Summary:
The energy relative to the lowest polymorph listed for this composition is 0 meV/atom. As for the total DFT energy (no corrections): -4.81 eV per atom. For the volume, the calculation gives 281.4 Å³/cell. Its density of states at the Fermi level is 3.32 states/eV/f.u. The value obtained for the energy relative to the elements, uncorrected is 0.476 eV/atom. The space group is I4_1/amd, No. 141.

VASP calculation (PBE) on a relaxed KCu4Pt crystal.

a = 5.084 Å, b = 5.084 Å, c = 5.084 Å
α = 60.00°, β = 60.00°, γ = 60.00°
Element x y z (fractional)
K1 0.000 0.000 0.000
Cu1 0.376 0.376 0.376
Cu2 0.376 0.376 0.872
Cu3 0.376 0.872 0.376
Cu4 0.872 0.376 0.376
Pt1 0.750 0.750 0.750

Summary:
As for the total DFT energy (no corrections): -3.67 eV per atom. For the volume, the calculation gives 92.9 Å³/cell. Its density of states at the Fermi level is 1.62 states/eV/f.u. For the formation energy, the calculation gives 0.254 eV per atom. The space group is F-43m, No. 216.

VASP calculation (PBE) on a relaxed Bi2PdAu2 crystal.

a = 12.361 Å, b = 12.361 Å, c = 12.361 Å
α = 159.42°, β = 159.42°, γ = 29.26°
Element x y z (fractional)
Bi1 0.058 0.308 0.750
Bi2 0.308 0.058 0.250
Bi3 0.692 0.942 0.750
Bi4 0.942 0.692 0.250
Pd1 0.125 0.875 0.250
Pd2 0.875 0.125 0.750
Au1 0.205 0.455 0.750
Au2 0.455 0.205 0.250
Au3 0.545 0.795 0.750
Au4 0.795 0.545 0.250

Summary:
The energy relative to the lowest polymorph listed for this composition is 51 meV/atom. As for the total DFT energy (no corrections): -3.97 eV per atom. For the volume, the calculation gives 233.2 Å³/cell. Its density of states at the Fermi level is 1.60 states/eV/f.u. For the formation energy, the calculation gives -0.072 eV per atom. The space group is I4_1/amd, No. 141.

VASP calculation (PBE) on a relaxed BiIr3O crystal.

a = 5.048 Å, b = 5.048 Å, c = 5.048 Å
α = 90.00°, β = 90.00°, γ = 90.00°
Element x y z (fractional)
Bi1 0.000 0.000 0.000
Ir1 0.000 0.000 0.500
Ir2 0.000 0.500 0.000
Ir3 0.500 0.000 0.000
O1 0.500 0.500 0.500

Summary:
The energy relative to the lowest polymorph listed for this composition is 1881 meV/atom. As for the total DFT energy (no corrections): -4.36 eV per atom. For the volume, the calculation gives 128.6 Å³/cell. Its density of states at the Fermi level is 7.97 states/eV/f.u. The value obtained for the energy relative to the elements, uncorrected is 2.720 eV/atom. The space group is Pm-3m, No. 221.

VASP calculation (PBE) on a relaxed BOs2I crystal.

a = 4.354 Å, b = 4.354 Å, c = 4.354 Å
α = 60.00°, β = 60.00°, γ = 60.00°
Element x y z (fractional)
B1 0.000 0.000 0.000
Os1 0.250 0.250 0.250
Os2 0.750 0.750 0.750
I1 0.500 0.500 0.500

Summary:
The energy relative to the lowest polymorph listed for this composition is 615 meV/atom. As for the total DFT energy (no corrections): -6.05 eV per atom. For the volume, the calculation gives 58.4 Å³/cell. Its density of states at the Fermi level is 2.60 states/eV/f.u. The value obtained for the energy relative to the elements, uncorrected is 1.621 eV/atom. The space group is Fm-3m, No. 225.

VASP calculation (PBE) on a relaxed Fe3Te2 crystal.

a = 4.104 Å, b = 4.104 Å, c = 5.884 Å
α = 90.00°, β = 90.00°, γ = 120.00°
Element x y z (fractional)
Fe1 0.000 0.000 0.000
Fe2 0.333 0.667 0.343
Fe3 0.667 0.333 0.657
Te1 0.333 0.667 0.764
Te2 0.667 0.333 0.236

Summary:
As for the total DFT energy (no corrections): -5.87 eV per atom. For the volume, the calculation gives 85.8 Å³/cell. Its density of states at the Fermi level is 7.62 states/eV/f.u. The value obtained for the energy relative to the elements, uncorrected is 0.461 eV/atom. The space group is P-3m1, No. 164.

VASP calculation (PBE) on a relaxed H5Pt crystal.

a = 2.740 Å, b = 3.406 Å, c = 6.366 Å
α = 105.48°, β = 98.66°, γ = 90.01°
Element x y z (fractional)
H1 0.000 0.000 0.000
H2 0.003 0.932 0.877
H3 0.187 0.269 0.556
H4 0.442 0.629 0.274
H5 0.913 0.180 0.379
Pt1 0.006 0.717 0.453

Summary:
As for the total DFT energy (no corrections): -3.61 eV per atom. For the volume, the calculation gives 56.6 Å³/cell. Its density of states at the Fermi level is 0.17 states/eV/f.u. The space group is P1, No. 1.

VASP calculation (PBE) on a relaxed CuSn crystal.

a = 3.851 Å, b = 3.851 Å, c = 3.851 Å
α = 60.00°, β = 60.00°, γ = 60.00°
Element x y z (fractional)
Cu1 0.000 0.000 0.000
Sn1 0.500 0.500 0.500

Summary:
As for the total DFT energy (no corrections): -3.85 eV per atom. For the volume, the calculation gives 40.4 Å³/cell. Its density of states at the Fermi level is 0.96 states/eV/f.u. For the formation energy, the calculation gives 0.197 eV per atom. The space group is Fm-3m, No. 225.

VASP calculation (PBE) on a relaxed Ba2Mg4In3Hg crystal.

a = 5.059 Å, b = 5.059 Å, c = 11.755 Å
α = 90.00°, β = 90.00°, γ = 90.00°
Element x y z (fractional)
Ba1 0.000 0.500 0.248
Ba2 0.500 0.000 0.752
Mg1 0.000 0.000 0.500
Mg2 0.000 0.500 0.877
Mg3 0.500 0.000 0.123
Mg4 0.500 0.500 0.500
In1 0.000 0.000 0.000
In2 0.000 0.500 0.634
In3 0.500 0.000 0.366
Hg1 0.500 0.500 0.000

Summary:
As for the total DFT energy (no corrections): -2.16 eV per atom. For the volume, the calculation gives 300.8 Å³/cell. Its density of states at the Fermi level is 7.41 states/eV/f.u. For the formation energy, the calculation gives -0.284 eV per atom. The space group is P-4m2, No. 115.